HfInSe2 | GGA-PBE | optimized geometry

Cell: 7.0343 7.0343 7.4758 Å, 61.94 61.94 90.00°
Atoms (fractional coordinates):
Hf  0.0000  0.0000  0.0000
Hf  0.7500  0.2500  0.5000
Se  0.7032  0.1250  0.2500
Se  0.0468  0.6250  0.2500
Se  0.3750  0.2968  0.7500
Se  0.8750  0.9532  0.7500
In  0.5000  0.5000  0.0000
In  0.2500  0.7500  0.5000

Values from the calculation:
Density: 5.4 g cm⁻³
Crystal system: tetragonal
Symmetry: I-42d, No. 122
Total energy: -43.5 eV per cell
Formation energy without anion corrections: -2.1 eV per formula unit